one.
Density functional theory data (PBE) for a relaxed structure of TbHfCo2.

a b c (Å): 3.215 3.215 6.618
angles (deg): 90.00 90.00 90.00
Site moments in Bohr magnetons follow the coordinates.
Positions (direct):
Hf (0.500, 0.500, 0.000)  -0.07
Tb (0.500, 0.500, 0.500)  -0.06
Co (0.000, 0.000, 0.218)  0.25
Co (0.000, 0.000, 0.782)  0.25

Results
SG: No. 123

two.
Density functional theory data (PBE) for a relaxed structure of TbHfCo2.

a b c (Å): 4.604 4.604 4.604
angles (deg): 60.00 60.00 60.00
Site moments in Bohr magnetons follow the coordinates.
Positions (direct):
Co (0.750, 0.750, 0.750)  0.85
Hf (0.500, 0.500, 0.500)  -0.18
Tb (0.000, 0.000, 0.000)  -0.15
Co (0.250, 0.250, 0.250)  0.85

Results
SG: No. 225

Out of the structures above, which one is the most stable? Solution: one.